! PBE BeZn2Ni5B2, optimized geometry; values from VASP
! formation energy = -0.253 eV/atom
&SYSTEM
  ibrav = 0, nat = 20, ntyp = 4
/
ATOMIC_SPECIES
Be 9.01 Be.upf
Zn 65.41 Zn.upf
Ni 58.69 Ni.upf
B 10.81 B.upf
ATOMIC_POSITIONS crystal
Be 0.0000 0.0000 0.0000
Be 0.0000 0.5000 0.5000
Zn 0.0000 0.6775 0.1775
Zn 0.0000 0.3225 0.8225
Zn 0.0000 0.1775 0.3225
Zn 0.0000 0.8225 0.6775
Ni 0.5000 0.2091 0.0667
Ni 0.5000 0.7909 0.9333
Ni 0.5000 0.0667 0.7909
Ni 0.5000 0.7091 0.4333
Ni 0.5000 0.9333 0.2091
Ni 0.5000 0.2909 0.5667
Ni 0.5000 0.5667 0.7091
Ni 0.5000 0.4333 0.2909
Ni 0.5000 0.5000 0.0000
Ni 0.5000 0.0000 0.5000
B 0.0000 0.1272 0.6272
B 0.0000 0.8728 0.3728
B 0.0000 0.6272 0.8728
B 0.0000 0.3728 0.1272
CELL_PARAMETERS angstrom
-1.2954 -0.8057 2.3052
6.9656 -4.2354 2.4340
2.8225 6.9494 4.0152